1.
K4MgBr | Alexandria | GGA-PBE | optimized geometry; density = 1.3 g/cm3; M_tot = 0.000 μB per atom; ΔE_f (raw) = -71 meV/atom
1.0
0.000 5.552 5.552
5.552 0.000 5.552
5.552 5.552 0.000
K Mg Br
4 1 1
Direct
0.376 0.376 0.376
0.376 0.376 0.873
0.376 0.873 0.376
0.873 0.376 0.376
0.000 0.000 0.000
0.750 0.750 0.750

***

2.
Pm4Hg2Ir | Alexandria | GGA-PBE | optimized geometry; density = 8.5 g/cm3; M_tot = 0.000 μB per atom; ΔH_f (0 K) = -0.312 eV/atom; E above lowest polymorph = 178 meV per atom
1.0
-2.741 2.741 7.610
2.741 -2.741 7.610
2.741 2.741 -7.610
Pm Hg Ir
4 2 1
Direct
0.000 0.500 0.500
0.185 0.185 0.000
0.500 0.000 0.500
0.815 0.815 0.000
0.384 0.384 0.000
0.616 0.616 0.000
0.000 0.000 0.000

***

3.
SrPdW | Alexandria | GGA-PBE | optimized geometry; density = 9.0 g/cm3; M_tot = 0.000 μB per atom; ΔH_f (0 K) = 0.180 eV/atom; E above lowest polymorph = 27 meV per atom
1.0
3.442 0.000 0.000
0.000 9.327 0.000
-3.432 0.000 4.353
Sr Pd W
2 2 2
Direct
0.000 0.163 0.250
0.000 0.837 0.750
0.000 0.278 0.750
0.000 0.722 0.250
0.500 0.491 0.750
0.500 0.509 0.250

***

4.
Y2Cd2Pt | Alexandria | GGA-PBE | optimized geometry; density = 7.2 g/cm3; M_tot = 0.000 μB per atom; ΔH_f (0 K) = -0.272 eV/atom; E above lowest polymorph = 104 meV per atom
1.0
7.439 0.000 0.000
0.000 7.439 0.000
0.000 0.000 4.948
Y Cd Pt
4 4 2
Direct
0.167 0.333 0.000
0.333 0.833 0.000
0.667 0.167 0.000
0.833 0.667 0.000
0.141 0.641 0.500
0.359 0.141 0.500
0.641 0.859 0.500
0.859 0.359 0.500
0.000 0.000 0.000
0.500 0.500 0.000